P.
A plane-wave DFT calculation with PBE was carried out for a relaxed structure of HoHf2Zr.

Unit cell a=10.839 b=10.839 c=10.839 alpha=17.18 beta=17.18 gamma=17.18
Element x y z (fractional)
Ho (0.000, 0.000, 0.000)
Hf (0.246, 0.246, 0.246)
Hf (0.754, 0.754, 0.754)
Zr (0.500, 0.500, 0.500)

Total magnetic moment   0.00 μB/f.u.

---

Q.
A plane-wave DFT calculation with PBE was carried out for a relaxed structure of HoHf2Zr.

Unit cell a=4.584 b=4.584 c=4.606 alpha=90.00 beta=90.00 gamma=90.00
Element x y z (fractional)
Ho (0.000, 0.000, 0.000)
Hf (0.000, 0.500, 0.500)
Hf (0.500, 0.000, 0.500)
Zr (0.500, 0.500, 0.000)

Total magnetic moment   0.00 μB/f.u.

---

R.
A plane-wave DFT calculation with PBE was carried out for a relaxed structure of HoHf2Zr.

Unit cell a=10.705 b=10.705 c=10.705 alpha=17.54 beta=17.54 gamma=17.54
Element x y z (fractional)
Ho (0.000, 0.000, 0.000)
Hf (0.246, 0.246, 0.246)
Hf (0.420, 0.420, 0.420)
Zr (0.833, 0.833, 0.833)

Total magnetic moment   0.00 μB/f.u.

---

Which is most stable, and by how much? R, by 21 meV/atom.